Material: AlNiRu
Method: DFT, PBE-GGA
State: relaxed

Results
Raw total energy   -6.609 eV per atom
Formation energy from the elements   -1.0 eV/f.u.
N(E_F)   9.70 states/eV per cell

a b c (Å): 8.093 3.804 5.234
angles (deg): 90.00 104.54 90.00
Element x y z (fractional)
1 Al 0.000 0.000 0.000
2 Al 0.190 0.500 0.345
3 Al 0.500 0.500 0.000
4 Al 0.690 0.000 0.345
5 Ni 0.176 0.500 0.865
6 Ni 0.357 0.000 0.171
7 Ni 0.676 0.000 0.865
8 Ni 0.857 0.500 0.171
9 Ru 0.021 0.000 0.518
10 Ru 0.339 0.000 0.666
11 Ru 0.521 0.500 0.518
12 Ru 0.839 0.500 0.666